Entry a
Material: RbScCo3
Method: DFT, GGA-PBE
State: relaxed

It has space group Pm-3m (No. 221), with a = 4.5481 Å, b = 4.5481 Å, c = 4.5481 Å, α = 90.00°, β = 90.00° and γ = 90.00°. The inequivalent atoms are Rb at (0.0000, 0.0000, 0.0000), Sc at (0.5000, 0.5000, 0.5000) and Co at (0.0000, 0.0000, 0.5000).


Entry b
Material: RbScCo3
Method: DFT, GGA-PBE
State: relaxed

It has space group Pm-3m (No. 221), with a = 4.9126 Å, b = 4.9126 Å, c = 4.9126 Å, α = 90.00°, β = 90.00° and γ = 90.00°. The inequivalent atoms are Rb at (0.0000, 0.0000, 0.0000), Sc at (0.5000, 0.5000, 0.5000) and Co at (0.0000, 0.5000, 0.5000).


Quick one: most stable of them? entry b


Entry a
Material: Rb2ScCo
Method: DFT, GGA-PBE
State: relaxed

It has space group Fm-3m (No. 225), with a = 8.2436 Å, b = 8.2436 Å, c = 8.2436 Å, α = 90.00°, β = 90.00° and γ = 90.00°. The inequivalent atoms are Rb at (0.2500, 0.2500, 0.2500), Sc at (0.0000, 0.0000, 0.0000) and Co at (0.0000, 0.0000, 0.5000).


Entry b
Material: Rb2ScCo
Method: DFT, GGA-PBE
State: relaxed

It has space group I-42d (No. 122), with a = 13.2625 Å, b = 13.2625 Å, c = 4.5397 Å, α = 90.00°, β = 90.00° and γ = 90.00°. The inequivalent atoms are Rb at (0.0803, 0.2500, 0.1250), Sc at (0.0000, 0.0000, 0.5000) and Co at (0.0000, 0.0000, 0.0000).


Quick one: most stable of them? entry b


Entry a
Material: RbCo3Se
Method: DFT, GGA-PBE
State: relaxed

It has space group Pm-3m (No. 221), with a = 4.6984 Å, b = 4.6984 Å, c = 4.6984 Å, α = 90.00°, β = 90.00° and γ = 90.00°. The inequivalent atoms are Rb at (0.0000, 0.0000, 0.0000), Co at (0.0000, 0.0000, 0.5000) and Se at (0.5000, 0.5000, 0.5000).


Entry b
Material: RbCo3Se
Method: DFT, GGA-PBE
State: relaxed

It has space group Pm-3m (No. 221), with a = 4.6040 Å, b = 4.6040 Å, c = 4.6040 Å, α = 90.00°, β = 90.00° and γ = 90.00°. The inequivalent atoms are Rb at (0.0000, 0.0000, 0.0000), Co at (0.0000, 0.5000, 0.5000) and Se at (0.5000, 0.5000, 0.5000).


Quick one: most stable of them? entry b


Entry a
Material: RbCoSe3
Method: DFT, GGA-PBE
State: relaxed

It has space group Pm-3m (No. 221), with a = 4.9309 Å, b = 4.9309 Å, c = 4.9309 Å, α = 90.00°, β = 90.00° and γ = 90.00°. The inequivalent atoms are Rb at (0.0000, 0.0000, 0.0000), Co at (0.5000, 0.5000, 0.5000) and Se at (0.0000, 0.5000, 0.5000).


Entry b
Material: RbCoSe3
Method: DFT, GGA-PBE
State: relaxed

It has space group Pm-3m (No. 221), with a = 6.0199 Å, b = 6.0199 Å, c = 6.0199 Å, α = 90.00°, β = 90.00° and γ = 90.00°. The inequivalent atoms are Rb at (0.0000, 0.0000, 0.0000), Co at (0.5000, 0.5000, 0.5000) and Se at (0.0000, 0.0000, 0.5000).


Quick one: most stable of them? entry a


Entry a
Material: RbCo3Si
Method: DFT, GGA-PBE
State: relaxed

It has space group Pm-3m (No. 221), with a = 4.5725 Å, b = 4.5725 Å, c = 4.5725 Å, α = 90.00°, β = 90.00° and γ = 90.00°. The inequivalent atoms are Rb at (0.0000, 0.0000, 0.0000), Co at (0.0000, 0.0000, 0.5000) and Si at (0.5000, 0.5000, 0.5000).


Entry b
Material: RbCo3Si
Method: DFT, GGA-PBE
State: relaxed

It has space group Pm-3m (No. 221), with a = 4.5636 Å, b = 4.5636 Å, c = 4.5636 Å, α = 90.00°, β = 90.00° and γ = 90.00°. The inequivalent atoms are Rb at (0.0000, 0.0000, 0.0000), Co at (0.0000, 0.5000, 0.5000) and Si at (0.5000, 0.5000, 0.5000).


Quick one: most stable of them? entry b


Entry a
Material: RbCoSi2
Method: DFT, GGA-PBE
State: relaxed

It has space group I4_1/amd (No. 141, origin choice 2), with a = 6.2097 Å, b = 6.2097 Å, c = 11.2750 Å, α = 90.00°, β = 90.00° and γ = 90.00°. The inequivalent atoms are Rb at (0.0000, 0.2500, 0.3750), Co at (0.0000, 0.2500, 0.8750) and Si at (0.0000, 0.0000, 0.0000).


Entry b
Material: RbCoSi2
Method: DFT, GGA-PBE
State: relaxed

It has space group Fm-3m (No. 225), with a = 6.6127 Å, b = 6.6127 Å, c = 6.6127 Å, α = 90.00°, β = 90.00° and γ = 90.00°. The inequivalent atoms are Rb at (0.0000, 0.0000, 0.0000), Co at (0.0000, 0.0000, 0.5000) and Si at (0.2500, 0.2500, 0.2500).


Quick one: most stable of them? entry a


Entry a
Material: Rb2CoSn2
Method: DFT, GGA-PBE
State: relaxed

It has space group P4/mbm (No. 127), with a = 6.9390 Å, b = 6.9390 Å, c = 6.3726 Å, α = 90.00°, β = 90.00° and γ = 90.00°. The inequivalent atoms are Rb at (0.1735, 0.3265, 0.0000), Co at (0.0000, 0.0000, 0.5000) and Sn at (0.1724, 0.6724, 0.5000).


Entry b
Material: Rb2CoSn2
Method: DFT, GGA-PBE
State: relaxed

It has space group P4/mbm (No. 127), with a = 11.0220 Å, b = 11.0220 Å, c = 3.1814 Å, α = 90.00°, β = 90.00° and γ = 90.00°. The inequivalent atoms are Rb at (0.2046, 0.2954, 0.0000), Co at (0.0000, 0.0000, 0.0000) and Sn at (0.0915, 0.5915, 0.5000).


Quick one: most stable of them? entry a


Entry a
Material: RbTa3Co
Method: DFT, GGA-PBE
State: relaxed

It has space group Pm-3m (No. 221), with a = 4.7973 Å, b = 4.7973 Å, c = 4.7973 Å, α = 90.00°, β = 90.00° and γ = 90.00°. The inequivalent atoms are Rb at (0.0000, 0.0000, 0.0000), Ta at (0.0000, 0.5000, 0.5000) and Co at (0.5000, 0.5000, 0.5000).


Entry b
Material: RbTa3Co
Method: DFT, GGA-PBE
State: relaxed

It has space group Pm-3m (No. 221), with a = 4.7447 Å, b = 4.7447 Å, c = 4.7447 Å, α = 90.00°, β = 90.00° and γ = 90.00°. The inequivalent atoms are Rb at (0.0000, 0.0000, 0.0000), Ta at (0.0000, 0.0000, 0.5000) and Co at (0.5000, 0.5000, 0.5000).


Quick one: most stable of them? entry a


Entry a
Material: RbTaCo3
Method: DFT, GGA-PBE
State: relaxed

It has space group Pm-3m (No. 221), with a = 4.7211 Å, b = 4.7211 Å, c = 4.7211 Å, α = 90.00°, β = 90.00° and γ = 90.00°. The inequivalent atoms are Rb at (0.0000, 0.0000, 0.0000), Ta at (0.5000, 0.5000, 0.5000) and Co at (0.0000, 0.5000, 0.5000).


Entry b
Material: RbTaCo3
Method: DFT, GGA-PBE
State: relaxed

It has space group Pm-3m (No. 221), with a = 4.3870 Å, b = 4.3870 Å, c = 4.3870 Å, α = 90.00°, β = 90.00° and γ = 90.00°. The inequivalent atoms are Rb at (0.0000, 0.0000, 0.0000), Ta at (0.5000, 0.5000, 0.5000) and Co at (0.0000, 0.0000, 0.5000).


Quick one: most stable of them? entry a


Entry a
Material: Rb2TaCo
Method: DFT, GGA-PBE
State: relaxed

It has space group I-42d (No. 122), with a = 13.2584 Å, b = 13.2584 Å, c = 4.4862 Å, α = 90.00°, β = 90.00° and γ = 90.00°. The inequivalent atoms are Rb at (0.0729, 0.2500, 0.1250), Ta at (0.0000, 0.0000, 0.5000) and Co at (0.0000, 0.0000, 0.0000).


Entry b
Material: Rb2TaCo
Method: DFT, GGA-PBE
State: relaxed

It has space group Fm-3m (No. 225), with a = 8.4283 Å, b = 8.4283 Å, c = 8.4283 Å, α = 90.00°, β = 90.00° and γ = 90.00°. The inequivalent atoms are Rb at (0.2500, 0.2500, 0.2500), Ta at (0.0000, 0.0000, 0.0000) and Co at (0.0000, 0.0000, 0.5000).


Quick one: most stable of them? entry a


Entry a
Material: RbCoTc3
Method: DFT, GGA-PBE
State: relaxed

It has space group Pm-3m (No. 221), with a = 4.6457 Å, b = 4.6457 Å, c = 4.6457 Å, α = 90.00°, β = 90.00° and γ = 90.00°. The inequivalent atoms are Rb at (0.0000, 0.0000, 0.0000), Co at (0.5000, 0.5000, 0.5000) and Tc at (0.0000, 0.5000, 0.5000).


Entry b
Material: RbCoTc3
Method: DFT, GGA-PBE
State: relaxed

It has space group Pm-3m (No. 221), with a = 4.5745 Å, b = 4.5745 Å, c = 4.5745 Å, α = 90.00°, β = 90.00° and γ = 90.00°. The inequivalent atoms are Rb at (0.0000, 0.0000, 0.0000), Co at (0.5000, 0.5000, 0.5000) and Tc at (0.0000, 0.0000, 0.5000).


Quick one: most stable of them? entry a


Entry a
Material: Rb2CoTc
Method: DFT, GGA-PBE
State: relaxed

It has space group I-42d (No. 122), with a = 12.9775 Å, b = 12.9775 Å, c = 4.4280 Å, α = 90.00°, β = 90.00° and γ = 90.00°. The inequivalent atoms are Rb at (0.0632, 0.7500, 0.1250), Co at (0.0000, 0.0000, 0.0000) and Tc at (0.0000, 0.0000, 0.5000).


Entry b
Material: Rb2CoTc
Method: DFT, GGA-PBE
State: relaxed

It has space group Fm-3m (No. 225), with a = 8.2935 Å, b = 8.2935 Å, c = 8.2935 Å, α = 90.00°, β = 90.00° and γ = 90.00°. The inequivalent atoms are Rb at (0.2500, 0.2500, 0.2500), Co at (0.0000, 0.0000, 0.0000) and Tc at (0.0000, 0.0000, 0.5000).


Quick one: most stable of them? entry a


Entry a
Material: RbCoTe
Method: DFT, GGA-PBE
State: relaxed

It has space group P1 (No. 1), with a = 4.1202 Å, b = 4.1251 Å, c = 13.0555 Å, α = 83.17°, β = 83.08° and γ = 60.12°. The inequivalent atoms are Rb at (0.0000, 0.0000, 0.0000), Rb at (0.4984, 0.5038, 0.6520), Co at (0.2317, 0.2365, 0.3933), Co at (0.5896, 0.5940, 0.2989), Te at (0.2806, 0.2837, 0.2042) and Te at (0.8841, 0.8887, 0.4487).


Entry b
Material: RbCoTe
Method: DFT, GGA-PBE
State: relaxed

It has space group P4/nmm (No. 129, origin choice 2), with a = 4.2342 Å, b = 4.2342 Å, c = 11.3127 Å, α = 90.00°, β = 90.00° and γ = 90.00°. The inequivalent atoms are Rb at (0.2500, 0.2500, 0.2019), Co at (0.2500, 0.7500, 0.5000) and Te at (0.2500, 0.2500, 0.6232).


Quick one: most stable of them? entry b


Entry a
Material: RbCo3Te
Method: DFT, GGA-PBE
State: relaxed

It has space group Pm-3m (No. 221), with a = 4.8779 Å, b = 4.8779 Å, c = 4.8779 Å, α = 90.00°, β = 90.00° and γ = 90.00°. The inequivalent atoms are Rb at (0.0000, 0.0000, 0.0000), Co at (0.0000, 0.5000, 0.5000) and Te at (0.5000, 0.5000, 0.5000).


Entry b
Material: RbCo3Te
Method: DFT, GGA-PBE
State: relaxed

It has space group Pm-3m (No. 221), with a = 4.7280 Å, b = 4.7280 Å, c = 4.7280 Å, α = 90.00°, β = 90.00° and γ = 90.00°. The inequivalent atoms are Rb at (0.0000, 0.0000, 0.0000), Co at (0.0000, 0.0000, 0.5000) and Te at (0.5000, 0.5000, 0.5000).


Quick one: most stable of them? entry a